Here is crystalline LiPSeS2 at its relaxed geometry from the Alexandria database. Energies are from PBE-GGA.

Properties
Total magnetic moment: 0.2398 μB per atom
Calculated total energy: -16.63 eV per formula unit

Cell lengths 4.9331, 4.9331, 4.7801 Å; angles 90.00, 90.00, 90.00 degrees
Closest atoms and distances in Å follow each position.
Sites, in units of the cell vectors:
S1 0.0000 0.5000 0.0000  2 Se 2.47
S2 0.5000 0.0000 0.0000  2 Se 2.47
Se1 0.0000 0.0000 0.0000  2 P 2.39, 4 S 2.47
P1 0.0000 0.0000 0.5000  2 Se 2.39
Li1 0.5000 0.5000 0.5000  8 S 3.43, 4 P 3.49